Density functional theory data (GGA-PBE) for a relaxed structure of MnRe2S.

abc: 5.3028 5.3028 6.4140
angles: 65.58 65.58 90.00
Sites, in units of the cell vectors:
S (0.5000, 0.5000, 0.0000)
S (0.2500, 0.7500, 0.5000)
Mn (0.7500, 0.2500, 0.5000)
Mn (0.0000, 0.0000, 0.0000)
Re (0.8750, 0.8770, 0.7500)
Re (0.6270, 0.1250, 0.2500)
Re (0.3750, 0.3730, 0.7500)
Re (0.1230, 0.6250, 0.2500)

## Properties
- electronic total energy (eV per atom) = -8.75
- size of the total moment (μB/f.u.) = 0.000
- calculated density (g/cm³) = 10.427

***

Density functional theory data (GGA-PBE) for a relaxed structure of MnReS.

abc: 2.7043 2.8370 11.2659
angles: 90.00 90.00 90.00
Sites, in units of the cell vectors:
S (0.5000, 0.5000, 0.8483)
S (0.5000, 0.0000, 0.3483)
Mn (0.0000, 0.0000, 0.4989)
Mn (0.0000, 0.5000, 0.9989)
Re (0.5000, 0.0000, 0.1457)
Re (0.5000, 0.5000, 0.6457)

## Properties
- electronic total energy (eV per atom) = -8.42
- size of the total moment (μB/f.u.) = 0.001
- calculated density (g/cm³) = 10.498